# LiPuNiF6 | Alexandria | PBE+U | optimized geometry
data_LiPuNiF6
_symmetry_space_group_name_H-M 'P -3 1 c'
_symmetry_Int_Tables_number 163
_symmetry_space_group_name_Hall '-P 3 2c'
_cell_length_a 5.4578
_cell_length_b 5.4578
_cell_length_c 8.9814
_cell_angle_alpha 90.00
_cell_angle_beta 90.00
_cell_angle_gamma 120.00
loop_
_atom_site_label
_atom_site_type_symbol
_atom_site_fract_x
_atom_site_fract_y
_atom_site_fract_z
_atom_site_occupancy
Li1 Li 0.3333 0.6667 0.2500 1
Pu1 Pu 0.3333 0.6667 0.7500 1
Ni1 Ni 0.0000 0.0000 0.0000 1
F1 F 0.0332 0.3319 0.1238 1
# Calculated volume ... 116 Å³/f.u.
# Total energy ... -6.24 eV per atom